The following is a DFT calculation (PBE-GGA) of a relaxed structure of SrNb3Co.

Its crystal system is cubic. The energy relative to the elements is 2.929 eV/atom.

abc: 4.7843 4.7843 4.7843
angles: 90.00 90.00 90.00
With the nearest neighbours (Å) after each atom.
Sites, in units of the cell vectors:
1 Sr 0.0000 0.0000 0.0000  6 Nb 2.39
2 Nb 0.0000 0.5000 0.0000  2 Sr 2.39
3 Nb 0.0000 0.0000 0.5000  2 Sr 2.39
4 Nb 0.5000 0.0000 0.0000  2 Sr 2.39
5 Co 0.5000 0.5000 0.5000  12 Nb 3.38